Entry 1:
The following is a DFT calculation (PBE-GGA) of a relaxed SrIrC crystal.

a = 3.5742 Å, b = 3.5742 Å, c = 4.8127 Å
α = 90.00°, β = 90.00°, γ = 120.00°
Last column: nearest neighbours and their distance in Å.
Fractional positions:
Sr1 0.0000 0.0000 0.0000  6 Ir 3.17, 6 C 3.17
Ir1 0.6667 0.3333 0.5000  3 C 2.06
C1 0.3333 0.6667 0.5000  3 Ir 2.06

Output
Polymorph energy (0 for the lowest one) = 0.40 eV per formula unit
D(E_F) = 0.564 states/eV/atom
Mass density = 9.10 g cm⁻³
Space-group type = No. 187

Entry 2:
The following is a DFT calculation (PBE-GGA) of a relaxed SrIrC crystal.

a = 5.7914 Å, b = 5.7914 Å, c = 5.7914 Å
α = 116.03°, β = 87.11°, γ = 127.70°
Last column: nearest neighbours and their distance in Å.
Fractional positions:
Sr1 0.0000 0.0000 0.0000  4 C 2.90, 2 Ir 3.14
Sr2 0.5000 0.0000 0.5000  4 C 2.90, 2 Ir 3.14
Ir1 0.2933 0.5433 0.7500  2 C 1.86
Ir2 0.7067 0.4567 0.2500  2 C 1.86
C1 0.5000 0.0000 0.0000  2 Ir 1.86
C2 0.5000 0.5000 0.5000  2 Ir 1.86

Output
Polymorph energy (0 for the lowest one) = 0.14 eV per formula unit
D(E_F) = 0.542 states/eV/atom
Mass density = 7.37 g cm⁻³
Space-group type = No. 74

Entry 3:
The following is a DFT calculation (PBE-GGA) of a relaxed Sr2IrC crystal.

a = 7.8997 Å, b = 7.8997 Å, c = 7.8997 Å
α = 93.48°, β = 93.48°, γ = 151.46°
Last column: nearest neighbours and their distance in Å.
Fractional positions:
Sr1 0.3750 0.1729 0.2979  2 C 2.80, 2 Ir 3.12
Sr2 0.8271 0.1250 0.2021  2 C 2.80, 2 Ir 3.12
Sr3 0.8750 0.0771 0.7021  2 C 2.80, 2 Ir 3.12
Sr4 0.9229 0.6250 0.7979  2 C 2.80, 2 Ir 3.12
Ir1 0.2500 0.7500 0.5000  2 C 1.95
Ir2 0.5000 0.5000 0.0000  2 C 1.95
C1 0.0000 0.0000 0.0000  2 Ir 1.95
C2 0.7500 0.2500 0.5000  2 Ir 1.95

Output
D(E_F) = 0.725 states/eV/atom
VASP energy = -5.528 eV per atom
Mass density = 5.52 g cm⁻³
Space-group type = No. 122

Entry 4:
The following is a DFT calculation (PBE-GGA) of a relaxed Sr2IrC crystal.

a = 5.4948 Å, b = 5.4948 Å, c = 3.8768 Å
α = 90.00°, β = 90.00°, γ = 90.00°
Last column: nearest neighbours and their distance in Å.
Fractional positions:
Sr1 0.0000 0.5000 0.0000  2 C 2.75
Sr2 0.5000 0.0000 0.0000  2 C 2.75
Ir1 0.0000 0.0000 0.5000  2 C 1.94
C1 0.0000 0.0000 0.0000  2 Ir 1.94

Output
D(E_F) = 0.889 states/eV/atom
VASP energy = -5.521 eV per atom
Mass density = 5.38 g cm⁻³
Space-group type = No. 123

Entry 5:
The following is a DFT calculation (PBE-GGA) of a relaxed SrIrC crystal.

a = 5.8988 Å, b = 5.8988 Å, c = 5.8988 Å
α = 90.00°, β = 90.00°, γ = 90.00°
Last column: nearest neighbours and their distance in Å.
Fractional positions:
Sr1 0.1411 0.1411 0.1411  4 C 2.73-3.01, 1 Ir 2.97
Sr2 0.3589 0.8589 0.6411  4 C 2.73-3.01, 1 Ir 2.97
Sr3 0.6411 0.3589 0.8589  4 C 2.73-3.01, 1 Ir 2.97
Sr4 0.8589 0.6411 0.3589  4 C 2.73-3.01, 1 Ir 2.97
Ir1 0.1493 0.3507 0.6493  3 C 2.11
Ir2 0.3507 0.6493 0.1493  3 C 2.11
Ir3 0.6493 0.1493 0.3507  3 C 2.11
Ir4 0.8507 0.8507 0.8507  3 C 2.11
C1 0.0918 0.5918 0.9082  3 Ir 2.11
C2 0.4082 0.4082 0.4082  3 Ir 2.11
C3 0.5918 0.9082 0.0918  3 Ir 2.11
C4 0.9082 0.0918 0.5918  3 Ir 2.11

Output
Polymorph energy (0 for the lowest one) = 0.23 eV per formula unit
D(E_F) = 0.616 states/eV/atom
Mass density = 9.44 g cm⁻³
Space-group type = No. 198

Entry 6:
The following is a DFT calculation (PBE-GGA) of a relaxed SrTc2IrC crystal.

a = 4.2738 Å, b = 4.2738 Å, c = 4.2761 Å
α = 90.00°, β = 90.00°, γ = 90.00°
Last column: nearest neighbours and their distance in Å.
Fractional positions:
Sr1 0.0000 0.0000 0.0000  4 Ir 3.02, 8 Tc 3.02
Tc1 0.0000 0.5000 0.5000  2 C 2.14
Tc2 0.5000 0.0000 0.5000  2 C 2.14
Ir1 0.5000 0.5000 0.0000  2 C 2.14
C1 0.5000 0.5000 0.5000  4 Tc 2.14, 2 Ir 2.14

Output
D(E_F) = 0.907 states/eV/atom
VASP energy = -7.636 eV per atom
Mass density = 10.37 g cm⁻³
Space-group type = No. 123

Entry 7:
The following is a DFT calculation (PBE-GGA) of a relaxed Sr2TeIrC crystal.

a = 5.6780 Å, b = 5.6780 Å, c = 3.8880 Å
α = 90.00°, β = 90.00°, γ = 90.00°
Last column: nearest neighbours and their distance in Å.
Fractional positions:
Sr1 0.0000 0.5000 0.0000  2 C 2.84
Sr2 0.5000 0.0000 0.0000  2 C 2.84
Te1 0.0000 0.0000 0.5000  8 Sr 3.44
Ir1 0.5000 0.5000 0.5000  2 C 1.94
C1 0.5000 0.5000 0.0000  2 Ir 1.94

Output
D(E_F) = 1.006 states/eV/atom
Mass density = 6.72 g cm⁻³
E_form (uncorrected) = -593 meV per atom
Space-group type = No. 123

Entry 8:
The following is a DFT calculation (PBE-GGA) of a relaxed Sr2ZnIrC crystal.

a = 5.5146 Å, b = 5.5146 Å, c = 3.8854 Å
α = 90.00°, β = 90.00°, γ = 90.00°
Last column: nearest neighbours and their distance in Å.
Fractional positions:
Sr1 0.0000 0.5000 0.0000  2 C 2.76
Sr2 0.5000 0.0000 0.0000  2 C 2.76
Zn1 0.0000 0.0000 0.5000  8 Sr 3.37
Ir1 0.5000 0.5000 0.5000  2 C 1.94
C1 0.5000 0.5000 0.0000  2 Ir 1.94

Output
D(E_F) = 0.527 states/eV/atom
VASP energy = -4.723 eV per atom
Mass density = 6.25 g cm⁻³
Space-group type = No. 123